CaTl2NiHg: optimized geometry, PBE.

Results
SG ... P4/mmm (123)
Total energy ... -13.4 eV/cell
ΔE to the lowest computed polymorph ... 0.0 kJ/mol of formula units
M_tot ... 0.00 μB/cell
ΔH_f (0 K) ... -0.6 eV/f.u.

a b c (Å): 5.0638 5.0638 5.4090
angles (deg): 90.00 90.00 90.00
Last column: nearest neighbours and their distance in Å.
Fractional coordinates of all 5 atoms:
Tl1 0.5000 0.0000 0.0000  2 Ni 2.53
Tl2 0.0000 0.5000 0.0000  2 Ni 2.53
Hg1 0.5000 0.5000 0.5000  4 Ca 3.58, 8 Tl 3.70
Ni1 0.0000 0.0000 0.0000  4 Tl 2.53, 2 Ca 2.70
Ca1 0.0000 0.0000 0.5000  2 Ni 2.70

CaTl2NiHg: optimized geometry, PBE.

Results
SG ... P4/mmm (123)
Total energy ... -13.1 eV/cell
ΔE to the lowest computed polymorph ... 25.9 kJ/mol of formula units
M_tot ... 0.00 μB/cell
ΔH_f (0 K) ... -0.3 eV/f.u.

a b c (Å): 5.0719 5.0719 5.1142
angles (deg): 90.00 90.00 90.00
Last column: nearest neighbours and their distance in Å.
Fractional coordinates of all 5 atoms:
Tl1 0.0000 0.5000 0.0000  2 Ni 2.54
Ni1 0.0000 0.0000 0.0000  4 Tl 2.54, 2 Hg 2.56
Hg1 0.0000 0.0000 0.5000  2 Ni 2.56
Ca1 0.5000 0.5000 0.5000  4 Hg 3.59, 8 Tl 3.60
Tl2 0.5000 0.0000 0.0000  2 Ni 2.54

CaZn2NiHg: optimized geometry, PBE.

Results
SG ... P4/mmm (123)
Total energy ... -11.3 eV/cell
M_tot ... 0.00 μB/cell
ΔH_f (0 K) ... -0.7 eV/f.u.

a b c (Å): 4.6434 4.6434 4.9935
angles (deg): 90.00 90.00 90.00
Last column: nearest neighbours and their distance in Å.
Fractional coordinates of all 5 atoms:
Zn1 0.0000 0.5000 0.0000  2 Ni 2.32
Zn2 0.5000 0.0000 0.0000  2 Ni 2.32
Ca1 0.5000 0.5000 0.5000  4 Hg 3.28, 8 Zn 3.41
Ni1 0.0000 0.0000 0.0000  4 Zn 2.32, 2 Hg 2.50
Hg1 0.0000 0.0000 0.5000  2 Ni 2.50

Ca2ZnNiHg: optimized geometry, PBE.

Results
SG ... P4/mmm (123)
Total energy ... -12.3 eV/cell
M_tot ... 0.00 μB/cell
ΔH_f (0 K) ... -0.9 eV/f.u.

a b c (Å): 5.3236 5.3236 4.6314
angles (deg): 90.00 90.00 90.00
Last column: nearest neighbours and their distance in Å.
Fractional coordinates of all 5 atoms:
Hg1 0.5000 0.5000 0.5000  8 Ca 3.53, 4 Zn 3.76
Zn1 0.0000 0.0000 0.5000  2 Ni 2.32
Ni1 0.0000 0.0000 0.0000  2 Zn 2.32
Ca1 0.5000 0.0000 0.0000  2 Ni 2.66
Ca2 0.0000 0.5000 0.0000  2 Ni 2.66

CaNpHg2: optimized geometry, PBE.

Results
SG ... P4/mmm (123)
Total energy ... -15.9 eV/cell
M_tot ... 4.73 μB/cell
ΔH_f (0 K) ... -0.4 eV/f.u.

a b c (Å): 3.6005 3.6005 8.1201
angles (deg): 90.00 90.00 90.00
Last column: nearest neighbours and their distance in Å.
Fractional coordinates of all 4 atoms:
Hg1 0.0000 0.0000 0.2513  4 Ca 3.25, 4 Np 3.26, 4 Hg 3.60
Np1 0.5000 0.5000 0.0000  8 Hg 3.26, 4 Np 3.60
Ca1 0.5000 0.5000 0.5000  8 Hg 3.25, 4 Ca 3.60
Hg2 0.0000 0.0000 0.7487  4 Ca 3.25, 4 Np 3.26, 4 Hg 3.60

CaHgO3: optimized geometry, PBE.

Results
SG ... Pm-3m (221)
Total energy ... -21.1 eV/cell
M_tot ... 0.00 μB/cell

a b c (Å): 4.1376 4.1376 4.1376
angles (deg): 90.00 90.00 90.00
Last column: nearest neighbours and their distance in Å.
Fractional coordinates of all 5 atoms:
Hg1 0.0000 0.0000 0.0000  6 O 2.07
O1 0.0000 0.0000 0.5000  2 Hg 2.07
Ca1 0.5000 0.5000 0.5000  12 O 2.93
O2 0.0000 0.5000 0.0000  2 Hg 2.07
O3 0.5000 0.0000 0.0000  2 Hg 2.07